[1]
A plane-wave DFT calculation with GGA-PBE was carried out for crystalline AlZn2CdCo at its relaxed geometry.

extended XYZ file:
```
5
Lattice="4.895 0.000 0.000 0.000 4.895 0.000 0.000 0.000 5.031" Properties=species:S:1:pos:R:3 pbc="T T T"
Al 0.000 0.000 0.000
Zn 0.000 2.448 2.515
Zn 2.448 0.000 2.515
Cd 0.000 0.000 2.515
Co 2.448 2.448 0.000
```

M_tot	2.1	μB/f.u.
formation energy	1155.8	meV/atom
theoretical density	4.53	g cm⁻³
E_tot	-8.5	eV/cell
space group	P4/mmm

***

[2]
A plane-wave DFT calculation with GGA-PBE was carried out for crystalline AcFeAs2 at its relaxed geometry.

extended XYZ file:
```
4
Lattice="2.050 1.184 5.750 -2.050 1.184 5.750 0.000 -2.367 5.750" Properties=species:S:1:pos:R:3 pbc="T T T"
Ac 0.000 0.000 0.000
Fe 0.000 0.000 8.625
As 0.000 0.000 3.726
As 0.000 0.000 13.523
```

M_tot	0.8	μB/f.u.
formation energy	-576.7	meV/atom
energy above the most stable polymorph in this dataset	0.0	meV/atom
theoretical density	8.58	g cm⁻³
E_tot	-24.2	eV/cell
space group	R-3m

***

[3]
A plane-wave DFT calculation with GGA-PBE was carried out for crystalline La4Tl2Rh at its relaxed geometry.

extended XYZ file:
```
14
Lattice="6.684 0.000 0.000 0.000 7.024 0.000 -2.320 0.000 9.654" Properties=species:S:1:pos:R:3 pbc="T T T"
La 1.036 1.756 0.944
La 0.102 0.012 7.317
La 0.102 3.500 7.317
La 1.094 5.268 3.854
La 3.270 1.756 5.799
La 4.262 3.524 2.337
La 4.262 7.012 2.337
La 3.328 5.268 8.709
Tl -0.289 1.756 4.417
Tl 1.965 5.268 0.549
Tl 2.399 1.756 9.104
Tl 4.654 5.268 5.236
Rh 2.277 1.756 3.304
Rh 2.087 5.268 6.349
```

M_tot	0.0	μB/f.u.
formation energy	-423.2	meV/atom
theoretical density	7.82	g cm⁻³
E_tot	-69.5	eV/cell
space group	P2_1/m

***

[4]
A plane-wave DFT calculation with GGA-PBE was carried out for crystalline TaInMo at its relaxed geometry.

extended XYZ file:
```
3
Lattice="-1.411 2.220 4.367 1.411 -2.220 4.367 1.411 2.220 -4.367" Properties=species:S:1:pos:R:3 pbc="T T T"
Ta 0.000 0.000 0.000
In 0.000 0.000 5.830
Mo 0.000 0.000 2.898
```

M_tot	0.0	μB/f.u.
formation energy	236.0	meV/atom
energy above the most stable polymorph in this dataset	156.0	meV/atom
theoretical density	11.89	g cm⁻³
E_tot	-24.7	eV/cell
space group	Imm2

***

[5]
A plane-wave DFT calculation with GGA-PBE was carried out for crystalline Zr2MnPb at its relaxed geometry.

extended XYZ file:
```
4
Lattice="0.000 3.466 3.466 3.466 0.000 3.466 3.466 3.466 0.000" Properties=species:S:1:pos:R:3 pbc="T T T"
Zr 0.000 0.000 0.000
Zr 1.733 1.733 1.733
Mn 3.466 3.466 3.466
Pb 5.198 5.198 5.198
```

M_tot	1.2	μB/f.u.
formation energy	242.5	meV/atom
theoretical density	8.87	g cm⁻³
E_tot	-29.0	eV/cell
space group	F-43m

***

[6]
A plane-wave DFT calculation with GGA-PBE was carried out for crystalline Cs2Na4Sb at its relaxed geometry.

extended XYZ file:
```
7
Lattice="-3.044 3.044 11.272 3.044 -3.044 11.272 3.044 3.044 -11.272" Properties=species:S:1:pos:R:3 pbc="T T T"
Cs 0.000 0.000 3.778
Cs 0.000 0.000 18.765
Na 3.044 0.000 0.000
Na 0.000 0.000 8.226
Na 0.000 3.044 0.000
Na 0.000 0.000 14.317
Sb 0.000 0.000 11.272
```

M_tot	0.0	μB/f.u.
theoretical density	1.91	g cm⁻³
E_tot	-12.0	eV/cell
space group	I4/mmm

***

[7]
A plane-wave DFT calculation with GGA-PBE was carried out for crystalline TmCo4B at its relaxed geometry.

extended XYZ file:
```
12
Lattice="2.010 -6.703 0.000 2.010 6.703 0.000 0.000 0.000 5.451" Properties=species:S:1:pos:R:3 pbc="T T T"
Tm 2.010 5.429 4.088
Tm 2.010 -5.429 1.363
Co 2.010 5.045 1.363
Co 2.010 2.775 0.039
Co 2.010 2.775 2.687
Co 2.010 0.000 0.000
Co 2.010 0.000 2.725
Co 2.010 -2.775 2.764
Co 2.010 -2.775 5.412
Co 2.010 -5.045 4.088
B 2.010 1.402 4.088
B 2.010 -1.402 1.363
```

M_tot	3.6	μB/f.u.
formation energy	-171.0	meV/atom
theoretical density	9.40	g cm⁻³
E_tot	-81.2	eV/cell
space group	Cmcm

***

[8]
A plane-wave DFT calculation with GGA-PBE was carried out for crystalline Pm2CoSb at its relaxed geometry.

extended XYZ file:
```
4
Lattice="5.035 0.000 0.000 0.000 5.035 0.000 0.000 0.000 3.983" Properties=species:S:1:pos:R:3 pbc="T T T"
Pm 0.000 2.518 0.000
Pm 2.518 0.000 0.000
Co 0.000 0.000 1.991
Sb 2.518 2.518 1.991
```

M_tot	1.4	μB/f.u.
energy above the most stable polymorph in this dataset	0.0	meV/atom
theoretical density	7.74	g cm⁻³
E_tot	-22.1	eV/cell
space group	P4/mmm

***

[9]
A plane-wave DFT calculation with GGA-PBE was carried out for crystalline K3TaCl6 at its relaxed geometry.

extended XYZ file:
```
10
Lattice="0.000 5.427 5.427 5.427 0.000 5.427 5.427 5.427 0.000" Properties=species:S:1:pos:R:3 pbc="T T T"
K 0.000 0.000 0.000
K 2.714 2.714 2.714
K 8.141 8.141 8.141
Ta 5.427 5.427 5.427
Cl 5.427 5.427 2.955
Cl 5.427 2.955 5.427
Cl 7.899 5.427 5.427
Cl 2.955 5.427 5.427
Cl 5.427 7.899 5.427
Cl 5.427 5.427 7.899
```

M_tot	2.0	μB/f.u.
theoretical density	2.65	g cm⁻³
E_tot	-41.5	eV/cell
space group	Fm-3m

***

[10]
A plane-wave DFT calculation with GGA-PBE was carried out for crystalline AlHg3Cl4 at its relaxed geometry.

extended XYZ file:
```
16
Lattice="6.437 0.000 0.000 0.000 9.993 0.000 -1.336 0.000 8.144" Properties=species:S:1:pos:R:3 pbc="T T T"
Al 0.000 0.000 0.000
Al 2.343 4.996 0.640
Hg 0.193 2.967 3.587
Hg 0.193 7.026 3.587
Hg 2.706 0.000 5.287
Hg 2.991 2.723 4.871
Hg 2.991 7.269 4.871
Hg 4.654 4.996 4.376
Cl 0.206 4.996 0.867
Cl -0.675 1.734 7.050
Cl -0.675 8.258 7.050
Cl 0.688 0.000 2.066
Cl 1.475 4.996 6.655
Cl 3.200 3.243 1.559
Cl 3.200 6.750 1.559
Cl 4.271 0.000 0.086
```

M_tot	0.0	μB/f.u.
theoretical density	4.89	g cm⁻³
E_tot	-38.5	eV/cell
space group	Pm

***

[11]
A plane-wave DFT calculation with GGA-PBE was carried out for crystalline BaNa2Pb2 at its relaxed geometry.

extended XYZ file:
```
5
Lattice="-2.499 2.499 7.237 2.499 -2.499 7.237 2.499 2.499 -7.237" Properties=species:S:1:pos:R:3 pbc="T T T"
Ba 0.000 0.000 0.000
Na 2.499 0.000 3.618
Na 0.000 2.499 3.618
Pb 0.000 0.000 5.757
Pb 0.000 0.000 8.716
```

M_tot	0.0	μB/f.u.
formation energy	-300.8	meV/atom
energy above the most stable polymorph in this dataset	0.0	meV/atom
theoretical density	5.49	g cm⁻³
E_tot	-13.5	eV/cell
space group	I4/mmm

***

[12]
A plane-wave DFT calculation with GGA-PBE was carried out for crystalline Sr3InSn3 at its relaxed geometry.

extended XYZ file:
```
14
Lattice="6.178 -2.520 0.000 6.178 2.520 0.000 -5.023 0.000 15.004" Properties=species:S:1:pos:R:3 pbc="T T T"
Sr -1.696 0.000 5.675
Sr -3.328 0.000 13.870
Sr 1.683 0.000 3.380
Sr 5.650 0.000 11.624
Sr 10.661 0.000 1.134
Sr 9.028 0.000 9.329
In 0.420 0.000 9.140
In 6.913 0.000 5.864
Sn 2.210 0.000 6.723
Sn 0.186 0.000 13.872
Sn 2.161 0.000 11.628
Sn 5.171 0.000 3.376
Sn 7.147 0.000 1.132
Sn 5.122 0.000 8.281
```

M_tot	0.0	μB/f.u.
formation energy	-590.5	meV/atom
theoretical density	5.22	g cm⁻³
E_tot	-47.9	eV/cell
space group	C2/m

***

[13]
A plane-wave DFT calculation with GGA-PBE was carried out for crystalline LiTaPb at its relaxed geometry.

extended XYZ file:
```
3
Lattice="-1.505 1.960 4.923 1.505 -1.960 4.923 1.505 1.960 -4.923" Properties=species:S:1:pos:R:3 pbc="T T T"
Li 0.000 0.000 0.000
Ta 0.000 0.000 3.261
Pb 0.000 0.000 6.343
```

M_tot	0.0	μB/f.u.
formation energy	476.7	meV/atom
energy above the most stable polymorph in this dataset	108.8	meV/atom
theoretical density	11.30	g cm⁻³
E_tot	-16.0	eV/cell
space group	Imm2

***

[14]
A plane-wave DFT calculation with GGA-PBE was carried out for crystalline La3InPb2 at its relaxed geometry.

extended XYZ file:
```
24
Lattice="13.196 0.000 0.000 0.000 4.851 0.000 0.000 0.000 12.518" Properties=species:S:1:pos:R:3 pbc="T T T"
La 0.568 1.213 1.537
La 1.741 3.638 7.108
La 2.760 1.213 10.106
La 3.838 3.638 3.846
La 4.857 1.213 0.849
La 6.030 3.638 7.796
La 7.166 1.213 4.722
La 8.339 3.638 11.669
La 9.358 1.213 8.672
La 10.435 3.638 2.413
La 11.455 1.213 5.410
La 12.628 3.638 10.981
In 1.848 1.213 4.561
In 4.750 3.638 10.820
In 8.446 1.213 1.698
In 11.348 3.638 7.957
Pb 0.084 3.638 3.987
Pb 2.430 3.638 0.290
Pb 4.168 1.213 6.549
Pb 6.514 1.213 10.246
Pb 6.681 3.638 2.272
Pb 9.028 3.638 5.970
Pb 10.766 1.213 12.229
Pb 13.112 1.213 8.531
```

M_tot	0.1	μB/f.u.
formation energy	-521.6	meV/atom
energy above the most stable polymorph in this dataset	0.0	meV/atom
theoretical density	7.84	g cm⁻³
E_tot	-112.3	eV/cell
space group	Pnma

***

[15]
A plane-wave DFT calculation with GGA-PBE was carried out for crystalline TlSnHg at its relaxed geometry.

extended XYZ file:
```
3
Lattice="0.000 3.618 3.618 3.618 0.000 3.618 3.618 3.618 0.000" Properties=species:S:1:pos:R:3 pbc="T T T"
Tl 0.000 0.000 0.000
Sn 5.427 5.427 5.427
Hg 3.618 3.618 3.618
```

M_tot	0.0	μB/f.u.
formation energy	109.2	meV/atom
energy above the most stable polymorph in this dataset	70.9	meV/atom
theoretical density	9.18	g cm⁻³
E_tot	-6.3	eV/cell
space group	F-43m

***

[16]
A plane-wave DFT calculation with GGA-PBE was carried out for crystalline K2TaCd at its relaxed geometry.

extended XYZ file:
```
4
Lattice="-1.518 2.790 6.622 1.518 -2.790 6.622 1.518 2.790 -6.622" Properties=species:S:1:pos:R:3 pbc="T T T"
K 0.000 0.000 2.888
K 0.000 0.000 10.356
Ta 0.000 2.790 0.000
Cd 1.518 0.000 0.000
```

M_tot	1.6	μB/f.u.
formation energy	1021.6	meV/atom
theoretical density	5.50	g cm⁻³
E_tot	-10.9	eV/cell
space group	Immm